[1]
Density functional theory data (PBE-GGA) for a relaxed Pr2AlSiPt6 crystal. Values from VASP.

Calculated values
- uncorrected formation energy (meV per atom) = -999
- crystal system = orthorhombic
- space group = No. 59
- uncorrected energy (eV/atom) = -6.496

The structure in Quantum ESPRESSO input format:
```
&SYSTEM
  ibrav = 0, nat = 20, ntyp = 4
/
ATOMIC_SPECIES
Pt 195.08 Pt.upf
Si 28.09 Si.upf
Al 26.98 Al.upf
Pr 140.91 Pr.upf
CELL_PARAMETERS angstrom
-2.2223 -2.4922 -4.5024
1.6964 -7.3398 3.2255
-7.7998 -0.0892 3.8993
ATOMIC_POSITIONS angstrom
Pt -0.5515 -0.6629 -1.1183
Pt -3.8824 -9.2228 1.7747
Pt -2.8778 -2.0963 -0.9086
Pt -1.6545 -1.8999 -3.3531
Pt -4.7491 -5.4504 0.1273
Pt -0.7879 -5.6723 -1.7057
Pt -3.6381 -4.2045 2.3781
Pt 0.3235 -4.4260 0.5459
Pt -0.4368 -6.5343 3.8325
Pt -4.3527 -6.5790 5.7902
Pt -2.7632 -7.9676 4.0422
Pt -6.7617 -2.1407 1.0330
Si 1.2815 -5.5449 2.4367
Si -4.5962 -3.0857 0.4873
Al -0.6561 -3.2149 -1.3860
Al -2.6585 -5.4156 4.3099
Pr -5.6866 -6.6393 2.9925
Pr -1.4414 -2.0348 1.8378
Pr -1.8732 -6.5957 1.0862
Pr -5.4279 -2.0804 3.8307
```



[2]
Density functional theory data (PBE-GGA) for a relaxed Pr2AlSn3Pt4 crystal. Values from VASP.

Calculated values
- formation enthalpy at 0 K (eV/atom) = -0.9091
- crystal system = tetragonal
- space group = No. 115
- uncorrected energy (eV/atom) = -5.856

The structure in Quantum ESPRESSO input format:
```
&SYSTEM
  ibrav = 0, nat = 10, ntyp = 4
/
ATOMIC_SPECIES
Sn 118.71 Sn.upf
Pr 140.91 Pr.upf
Pt 195.08 Pt.upf
Al 26.98 Al.upf
CELL_PARAMETERS angstrom
4.5528 0.0000 0.0000
0.0000 4.5528 0.0000
0.0000 0.0000 10.6365
ATOMIC_POSITIONS angstrom
Sn 2.2764 0.0000 9.2345
Sn 0.0000 2.2764 1.4019
Sn 0.0000 0.0000 5.3182
Pr 0.0000 2.2764 7.9724
Pr 2.2764 0.0000 2.6640
Pt 2.2764 2.2764 0.0000
Pt 2.2764 0.0000 6.6288
Pt 0.0000 2.2764 4.0076
Pt 0.0000 0.0000 0.0000
Al 2.2764 2.2764 5.3182
```



[3]
Density functional theory data (PBE-GGA) for a relaxed Pr2AlSnPt6 crystal. Values from VASP.

Calculated values
- formation enthalpy at 0 K (eV/atom) = -0.8155
- crystal system = monoclinic
- space group = No. 12
- uncorrected energy (eV/atom) = -6.170

The structure in Quantum ESPRESSO input format:
```
&SYSTEM
  ibrav = 0, nat = 10, ntyp = 4
/
ATOMIC_SPECIES
Pr 140.91 Pr.upf
Pt 195.08 Pt.upf
Sn 118.71 Sn.upf
Al 26.98 Al.upf
CELL_PARAMETERS angstrom
-4.7726 -5.9724 4.4447
4.6038 -1.4423 3.0141
0.2658 1.2145 5.5487
ATOMIC_POSITIONS angstrom
Pr 1.9177 -2.9817 6.3881
Pr -1.8206 -3.2185 6.6194
Pt 0.0383 -1.3686 4.6620
Pt 0.1725 -0.7607 7.4456
Pt -2.3673 -4.7221 4.0609
Pt -0.0754 -5.4395 5.5619
Pt 0.0588 -4.8316 8.3455
Pt 2.4644 -1.4781 8.9466
Sn 0.0000 0.0000 0.0000
Al -0.0844 -3.7074 3.7294
```



[4]
Density functional theory data (PBE-GGA) for a relaxed Pr2Al3SnPt4 crystal. Values from VASP.

Calculated values
- formation enthalpy at 0 K (eV/atom) = -1.0549
- crystal system = tetragonal
- space group = No. 115
- uncorrected energy (eV/atom) = -5.950

The structure in Quantum ESPRESSO input format:
```
&SYSTEM
  ibrav = 0, nat = 10, ntyp = 4
/
ATOMIC_SPECIES
Pr 140.91 Pr.upf
Al 26.98 Al.upf
Pt 195.08 Pt.upf
Sn 118.71 Sn.upf
CELL_PARAMETERS angstrom
4.3861 0.0000 0.0000
0.0000 4.3861 0.0000
0.0000 0.0000 10.4981
ATOMIC_POSITIONS angstrom
Pr 2.1931 0.0000 2.5745
Pr 0.0000 2.1931 7.9236
Al 2.1931 0.0000 9.2257
Al 0.0000 0.0000 5.2490
Al 0.0000 2.1931 1.2724
Pt 0.0000 2.1931 3.7428
Pt 2.1931 2.1931 0.0000
Pt 0.0000 0.0000 0.0000
Pt 2.1931 0.0000 6.7552
Sn 2.1931 2.1931 5.2490
```



[5]
Density functional theory data (PBE-GGA) for a relaxed TbPr2Al4Pt3 crystal. Values from VASP.

Calculated values
- formation enthalpy at 0 K (eV/atom) = -0.9030
- crystal system = tetragonal
- space group = No. 115
- uncorrected energy (eV/atom) = -5.631

The structure in Quantum ESPRESSO input format:
```
&SYSTEM
  ibrav = 0, nat = 10, ntyp = 4
/
ATOMIC_SPECIES
Al 26.98 Al.upf
Pt 195.08 Pt.upf
Tb 158.93 Tb.upf
Pr 140.91 Pr.upf
CELL_PARAMETERS angstrom
-2.9398 -1.4043 -2.8057
2.4231 -3.4586 -0.8079
-5.3442 -5.7210 8.4631
ATOMIC_POSITIONS angstrom
Al -0.5591 -3.6248 2.4000
Al -0.2583 -2.4314 -1.8068
Al 0.0000 0.0000 0.0000
Al -5.0435 -4.5277 4.2563
Pt -6.1799 -5.7442 6.0559
Pt 0.5773 -2.4083 0.6004
Pt -2.6721 -2.8605 4.2315
Tb -2.9305 -5.2919 2.4248
Pr -2.9138 -6.1455 6.1289
Pr -2.6888 -2.0070 0.5274
```



[6]
Density functional theory data (PBE-GGA) for a relaxed PrTiAlPt2 crystal. Values from VASP.

Calculated values
- formation enthalpy at 0 K (eV/atom) = -1.0121
- crystal system = tetragonal
- space group = No. 119
- uncorrected energy (eV/atom) = -6.712

The structure in Quantum ESPRESSO input format:
```
&SYSTEM
  ibrav = 0, nat = 5, ntyp = 4
/
ATOMIC_SPECIES
Pr 140.91 Pr.upf
Ti 47.87 Ti.upf
Pt 195.08 Pt.upf
Al 26.98 Al.upf
CELL_PARAMETERS angstrom
4.1642 0.0000 0.0000
0.0000 4.1642 0.0000
-2.0821 -2.0821 5.7717
ATOMIC_POSITIONS angstrom
Pr 0.0000 0.0000 0.0000
Ti 0.0000 2.0821 2.8858
Pt 2.0821 2.0821 1.3542
Pt 0.0000 0.0000 4.4174
Al 2.0821 0.0000 2.8858
```



Q: The lowest uncorrected energy belongs to which entry?
A: PrTiAlPt2



Q: The lowest uncorrected energy belongs to which entry?
A: PrTiAlPt2